No. 1
The following is a DFT calculation (PBE) of a relaxed PrPaTe4Se2 crystal.

a b c (Å): 4.3428 4.3408 25.2764
angles (deg): 90.00 90.00 90.00
Closest atoms and distances in Å follow each position.
Space group Amm2 (No. 38)
Asymmetric unit:
Pr 0.0000 0.0000 0.0000 (multiplicity 2)  5 Se 3.05-3.17, 4 Te 3.34
Pa 0.5000 0.0000 0.3528 (multiplicity 2)  5 Se 2.92-3.14, 4 Te 3.23
Te 0.0000 0.0000 0.2582 (multiplicity 2)  4 Te 3.07, 2 Pa 3.23
Te 0.0000 0.0000 0.6005 (multiplicity 2)  4 Te 3.07, 2 Pr 3.34
Te 0.5000 0.0000 0.1007 (multiplicity 2)  4 Te 3.07, 2 Pr 3.34
Te 0.5000 0.0000 0.7582 (multiplicity 2)  4 Te 3.07, 2 Pa 3.23
Se 0.0000 0.0000 0.8795 (multiplicity 2)  1 Pr 3.05, 4 Pa 3.14
Se 0.5000 0.0000 0.4682 (multiplicity 2)  1 Pa 2.92, 4 Pr 3.17

Calculated values
calculated total energy: -5.222 eV/atom
crystal system: orthorhombic

---

No. 2
The following is a DFT calculation (PBE) of a relaxed PrSmPa crystal.

a b c (Å): 7.4050 7.4050 7.4050
angles (deg): 90.00 90.00 90.00
Closest atoms and distances in Å follow each position.
Space group F-43m (No. 216)
Asymmetric unit:
Pr 0.0000 0.0000 0.0000 (multiplicity 4)  4 Pa 3.21, 4 Sm 3.21
Sm 0.2500 0.2500 0.2500 (multiplicity 4)  4 Pr 3.21
Pa 0.2500 0.2500 0.7500 (multiplicity 4)  4 Pr 3.21

Calculated values
calculated total energy: -5.255 eV/atom
crystal system: cubic

---

No. 3
The following is a DFT calculation (PBE) of a relaxed SrPrPa crystal.

a b c (Å): 7.9987 7.9987 7.9987
angles (deg): 90.00 90.00 90.00
Closest atoms and distances in Å follow each position.
Space group F-43m (No. 216)
Asymmetric unit:
Sr 0.0000 0.0000 0.0000 (multiplicity 4)  4 Pa 3.46
Pr 0.0000 0.0000 0.5000 (multiplicity 4)  4 Pa 3.46
Pa 0.2500 0.2500 0.7500 (multiplicity 4)  4 Pr 3.46, 4 Sr 3.46

Calculated values
calculated total energy: -3.938 eV/atom
crystal system: cubic

---

No. 4
The following is a DFT calculation (PBE) of a relaxed PrPaTa crystal.

a b c (Å): 6.9894 6.9894 6.9894
angles (deg): 90.00 90.00 90.00
Closest atoms and distances in Å follow each position.
Space group F-43m (No. 216)
Asymmetric unit:
Pr 0.0000 0.0000 0.0000 (multiplicity 4)  4 Pa 3.03
Pa 0.2500 0.2500 0.2500 (multiplicity 4)  4 Ta 3.03, 4 Pr 3.03
Ta 0.0000 0.0000 0.5000 (multiplicity 4)  4 Pa 3.03

Calculated values
calculated total energy: -7.427 eV/atom
crystal system: cubic

---

No. 5
The following is a DFT calculation (PBE) of a relaxed PrUPa crystal.

a b c (Å): 6.9771 6.9771 6.9771
angles (deg): 90.00 90.00 90.00
Closest atoms and distances in Å follow each position.
Space group F-43m (No. 216)
Asymmetric unit:
Pr 0.0000 0.0000 0.0000 (multiplicity 4)  4 U 3.02
U 0.2500 0.2500 0.7500 (multiplicity 4)  4 Pr 3.02, 4 Pa 3.02
Pa 0.0000 0.0000 0.5000 (multiplicity 4)  4 U 3.02

Calculated values
calculated total energy: -7.328 eV/atom
crystal system: cubic

---

No. 6
The following is a DFT calculation (PBE) of a relaxed PrPaW crystal.

a b c (Å): 6.9331 6.9331 6.9331
angles (deg): 90.00 90.00 90.00
Closest atoms and distances in Å follow each position.
Space group F-43m (No. 216)
Asymmetric unit:
Pr 0.0000 0.0000 0.0000 (multiplicity 4)  4 W 3.00
Pa 0.0000 0.0000 0.5000 (multiplicity 4)  4 W 3.00
W 0.2500 0.2500 0.2500 (multiplicity 4)  4 Pa 3.00, 4 Pr 3.00

Calculated values
calculated total energy: -8.333 eV/atom
crystal system: cubic

---

No. 7
The following is a DFT calculation (PBE) of a relaxed PrPaZn crystal.

a b c (Å): 6.9418 6.9418 6.9418
angles (deg): 90.00 90.00 90.00
Closest atoms and distances in Å follow each position.
Space group F-43m (No. 216)
Asymmetric unit:
Pr 0.0000 0.0000 0.0000 (multiplicity 4)  4 Zn 3.01
Pa 0.0000 0.0000 0.5000 (multiplicity 4)  4 Zn 3.01
Zn 0.2500 0.2500 0.7500 (multiplicity 4)  4 Pr 3.01, 4 Pa 3.01

Calculated values
calculated total energy: -4.729 eV/atom
crystal system: cubic

---

No. 8
The following is a DFT calculation (PBE) of a relaxed Pa2Pt crystal.

a b c (Å): 12.3924 12.3924 12.3924
angles (deg): 90.00 90.00 90.00
Closest atoms and distances in Å follow each position.
Space group Fd-3m (No. 227, origin choice 2)
Asymmetric unit:
Pa 0.0000 0.0000 0.0000 (multiplicity 16)  2 Pt 2.68
Pt 0.1250 0.1250 0.1250 (multiplicity 8)  4 Pa 2.68

Calculated values
calculated total energy: -6.533 eV/atom
crystal system: cubic

---

No. 9
The following is a DFT calculation (PBE) of a relaxed PaPt5 crystal.

a b c (Å): 7.5211 7.5211 7.5211
angles (deg): 90.00 90.00 90.00
Closest atoms and distances in Å follow each position.
Space group F-43m (No. 216)
Asymmetric unit:
Pa 0.0000 0.0000 0.0000 (multiplicity 4)  16 Pt 3.12-3.26
Pt 0.1246 0.1246 0.3754 (multiplicity 16)  6 Pt 2.65-2.67
Pt 0.2500 0.2500 0.7500 (multiplicity 4)  12 Pt 3.12, 4 Pa 3.26

Calculated values
calculated total energy: -7.390 eV/atom
crystal system: cubic

---

No. 10
The following is a DFT calculation (PBE) of a relaxed Pu2PaPt3 crystal.

a b c (Å): 4.0321 5.7786 12.4816
angles (deg): 90.00 90.00 90.00
Closest atoms and distances in Å follow each position.
Space group Immm (No. 71)
Asymmetric unit:
Pu 0.0000 0.0000 0.1665 (multiplicity 4)  6 Pt 2.89-2.97
Pa 0.0000 0.0000 0.5000 (multiplicity 2)  6 Pt 2.82-2.89
Pt 0.0000 0.5000 0.1585 (multiplicity 4)  2 Pa 2.82, 4 Pu 2.89-2.97
Pt 0.0000 0.5000 0.5000 (multiplicity 2)  2 Pa 2.89, 4 Pu 2.90

Calculated values
calculated total energy: -10.174 eV/atom
crystal system: orthorhombic

---

No. 11
The following is a DFT calculation (PBE) of a relaxed PuPaPt crystal.

a b c (Å): 6.5752 6.5752 6.5752
angles (deg): 90.00 90.00 90.00
Closest atoms and distances in Å follow each position.
Space group F-43m (No. 216)
Asymmetric unit:
Pu 0.0000 0.0000 0.0000 (multiplicity 4)  4 Pa 2.85
Pa 0.2500 0.2500 0.7500 (multiplicity 4)  4 Pu 2.85, 4 Pt 2.85
Pt 0.0000 0.0000 0.5000 (multiplicity 4)  4 Pa 2.85

Calculated values
calculated total energy: -10.251 eV/atom
crystal system: cubic

---

No. 12
The following is a DFT calculation (PBE) of a relaxed RbPaPt crystal.

a b c (Å): 7.0871 7.0871 7.0871
angles (deg): 90.00 90.00 90.00
Closest atoms and distances in Å follow each position.
Space group F-43m (No. 216)
Asymmetric unit:
Rb 0.0000 0.0000 0.0000 (multiplicity 4)  4 Pt 3.07
Pa 0.0000 0.0000 0.5000 (multiplicity 4)  4 Pt 3.07
Pt 0.2500 0.2500 0.7500 (multiplicity 4)  4 Rb 3.07, 4 Pa 3.07

Calculated values
calculated total energy: -4.910 eV/atom
crystal system: cubic

---

No. 13
The following is a DFT calculation (PBE) of a relaxed PaRePt crystal.

a b c (Å): 6.3764 6.3764 6.3764
angles (deg): 90.00 90.00 90.00
Closest atoms and distances in Å follow each position.
Space group F-43m (No. 216)
Asymmetric unit:
Pa 0.0000 0.0000 0.0000 (multiplicity 4)  4 Re 2.76
Re 0.2500 0.2500 0.7500 (multiplicity 4)  4 Pa 2.76, 4 Pt 2.76
Pt 0.0000 0.0000 0.5000 (multiplicity 4)  4 Re 2.76

Calculated values
calculated total energy: -9.170 eV/atom
crystal system: cubic

---

No. 14
The following is a DFT calculation (PBE) of a relaxed PaRePt crystal.

a b c (Å): 6.4535 6.4535 6.4535
angles (deg): 90.00 90.00 90.00
Closest atoms and distances in Å follow each position.
Space group F-43m (No. 216)
Asymmetric unit:
Pa 0.0000 0.0000 0.0000 (multiplicity 4)  4 Re 2.79, 4 Pt 2.79
Re 0.2500 0.2500 0.2500 (multiplicity 4)  4 Pa 2.79
Pt 0.2500 0.2500 0.7500 (multiplicity 4)  4 Pa 2.79

Calculated values
calculated total energy: -8.954 eV/atom
crystal system: cubic

---

No. 15
The following is a DFT calculation (PBE) of a relaxed PaSbPt crystal.

a b c (Å): 4.3863 4.3863 4.3073
angles (deg): 90.00 90.00 120.00
Closest atoms and distances in Å follow each position.
Space group P3m1 (No. 156)
Asymmetric unit:
Pa 0.0000 0.0000 0.0000 (multiplicity 1)  3 Pt 2.85, 3 Sb 3.19
Sb 0.6667 0.3333 0.5489 (multiplicity 1)  3 Pt 2.74
Pt 0.3333 0.6667 0.3058 (multiplicity 1)  3 Sb 2.74, 3 Pa 2.85

Calculated values
calculated total energy: -7.388 eV/atom
crystal system: trigonal

---

No. 16
The following is a DFT calculation (PBE) of a relaxed Pa2SiPt3 crystal.

a b c (Å): 6.6353 8.9745 15.5985
angles (deg): 90.00 90.00 90.00
Closest atoms and distances in Å follow each position.
Space group Fmmm (No. 69)
Asymmetric unit:
Pa 0.2266 0.0000 0.0000 (multiplicity 8)  1 Pa 3.01, 10 Pt 3.08-3.15, 2 Si 3.15
Pa 0.2500 0.2500 0.2500 (multiplicity 8)  8 Pt 3.02-3.03, 4 Si 3.09, 2 Pa 3.32
Si 0.0000 0.0000 0.3347 (multiplicity 8)  3 Pt 2.41-2.48
Pt 0.0000 0.0000 0.1757 (multiplicity 8)  1 Si 2.48, 2 Pt 2.77
Pt 0.0000 0.2325 0.4123 (multiplicity 16)  1 Si 2.41

Calculated values
calculated total energy: -8.112 eV/atom
crystal system: orthorhombic

---

No. 17
The following is a DFT calculation (PBE) of a relaxed SrPaPt2 crystal.

a b c (Å): 3.5988 3.5988 7.5541
angles (deg): 90.00 90.00 90.00
Closest atoms and distances in Å follow each position.
Space group P4/mmm (No. 123)
Asymmetric unit:
Sr 0.0000 0.0000 0.0000 (multiplicity 1)  8 Pt 3.43, 4 Sr 3.60, 2 Pa 3.78
Pa 0.0000 0.0000 0.5000 (multiplicity 1)  8 Pt 2.94
Pt 0.5000 0.5000 0.3048 (multiplicity 2)  4 Pa 2.94, 1 Pt 2.95

Calculated values
calculated total energy: -6.696 eV/atom
crystal system: tetragonal

---

No. 18
The following is a DFT calculation (PBE) of a relaxed TbPaPt crystal.

a b c (Å): 6.8824 6.8824 6.8824
angles (deg): 90.00 90.00 90.00
Closest atoms and distances in Å follow each position.
Space group F-43m (No. 216)
Asymmetric unit:
Tb 0.0000 0.0000 0.0000 (multiplicity 4)  4 Pt 2.98
Pa 0.0000 0.0000 0.5000 (multiplicity 4)  4 Pt 2.98
Pt 0.2500 0.2500 0.7500 (multiplicity 4)  4 Tb 2.98, 4 Pa 2.98

Calculated values
calculated total energy: -7.094 eV/atom
crystal system: cubic

---

No. 19
The following is a DFT calculation (PBE) of a relaxed PaTcPt2 crystal.

a b c (Å): 4.0331 4.0331 4.3329
angles (deg): 90.00 90.00 90.00
Closest atoms and distances in Å follow each position.
Space group P4/mmm (No. 123)
Asymmetric unit:
Pa 0.0000 0.0000 0.0000 (multiplicity 1)  4 Tc 2.85, 8 Pt 2.96
Tc 0.5000 0.5000 0.0000 (multiplicity 1)  4 Pa 2.85, 8 Pt 2.96
Pt 0.0000 0.5000 0.5000 (multiplicity 2)  4 Pt 2.85, 4 Tc 2.96, 4 Pa 2.96

Calculated values
calculated total energy: -8.760 eV/atom
crystal system: tetragonal

---

No. 20
The following is a DFT calculation (PBE) of a relaxed PaTePt crystal.

a b c (Å): 6.8084 6.8084 6.8084
angles (deg): 90.00 90.00 90.00
Closest atoms and distances in Å follow each position.
Space group F-43m (No. 216)
Asymmetric unit:
Pa 0.0000 0.0000 0.0000 (multiplicity 4)  4 Te 2.95
Te 0.2500 0.2500 0.2500 (multiplicity 4)  4 Pa 2.95, 4 Pt 2.95
Pt 0.0000 0.0000 0.5000 (multiplicity 4)  4 Te 2.95

Calculated values
calculated total energy: -6.332 eV/atom
crystal system: cubic